Material: BaSmDy2
Method: DFT, PBE
State: relaxed

a = 3.715 Å, b = 3.715 Å, c = 10.819 Å
α = 90.00°, β = 90.00°, γ = 90.00°
Fractional coordinates of all 4 atoms:
Dy1 0.000 0.000 0.218
Ba1 0.500 0.500 0.500
Sm1 0.500 0.500 0.000
Dy2 0.000 0.000 0.782

Summary:
Formation enthalpy at 0 K in eV/f.u.: 0.62
Symmetry: P4/mmm, No. 123
Excess energy over the best structure of this formula in the dataset in kcal/mol of atoms: 0.000
Calculated density in g/cm3: 6.82
Calculated total energy in eV/cell: -15.23
DOS at the Fermi energy in states/eV/cell: 6.08